DFT (PBE) results for an optimized crystal structure of Ac8Pm5Y.

## Properties
For the energy of formation, the calculation gives 0.1836 eV per atom. The crystal system is triclinic. The calculated density comes out at 7.6 g/cm³. The total moment is 0.0000 μB/atom.

Cell: 9.096 9.112 9.184 Å, 114.02 114.81 99.55°
Element x y z (fractional)
Ac 0.000 0.000 0.000
Ac 0.047 0.358 0.870
Ac 0.160 0.955 0.571
Ac 0.211 0.512 0.364
Ac 0.490 0.834 0.906
Ac 0.592 0.355 0.536
Ac 0.679 0.779 0.457
Ac 0.816 0.622 0.080
Pm 0.009 0.606 0.641
Pm 0.313 0.856 0.218
Pm 0.465 0.272 0.094
Pm 0.635 0.143 0.804
Pm 0.844 0.145 0.351
Y 0.331 0.388 0.724